1.
Density functional theory data (PBE) for a relaxed Mn2NbFe crystal.

Computed properties:
* ΔH_f (0 K): 9.1 kJ/mol of atoms

```
Mn2NbFe
1.0
3.018 0.000 0.000
0.000 3.018 0.000
0.000 0.000 5.718
Fe Mn Nb
1 2 1
Cartesian
1.509 1.509 2.859 Fe
0.000 0.000 4.173 Mn
0.000 0.000 1.546 Mn
1.509 1.509 0.000 Nb
```

2.
Density functional theory data (PBE) for a relaxed MnNbFe2 crystal.

Computed properties:
* ΔH_f (0 K): 11.7 kJ/mol of atoms
* excess energy over the best structure of this formula in the dataset: 0.126 eV/atom

```
MnNbFe2
1.0
2.674 0.000 0.000
0.000 2.674 0.000
0.000 0.000 6.937
Nb Mn Fe
1 1 2
Cartesian
1.337 1.337 3.468 Nb
1.337 1.337 0.000 Mn
0.000 0.000 1.448 Fe
0.000 0.000 5.489 Fe
```

3.
Density functional theory data (PBE) for a relaxed MnNbFe2 crystal.

Computed properties:
* ΔH_f (0 K): 47.0 kJ/mol of atoms
* excess energy over the best structure of this formula in the dataset: 0.492 eV/atom

```
MnNbFe2
1.0
-1.329 2.634 -3.176
-4.521 -1.866 0.344
1.631 2.790 1.632
Nb Fe Mn
1 2 1
Cartesian
-2.925 0.384 -1.416 Nb
-3.925 2.692 -2.042 Fe
-0.294 0.867 0.841 Fe
-0.664 1.317 -1.588 Mn
```

Computed electronic total energy (eV/cell) in order:
-36.49, -35.68, -34.22
Computed calculated density (g/cm3) in order:
8.2, 8.7, 7.6